Entry P
! PBE Cu3MoAu, optimized geometry; values from VASP
! ρ = 7719 kg/m³
&SYSTEM
  ibrav = 0, nat = 5, ntyp = 3
/
ATOMIC_SPECIES
Mo 95.94 Mo.upf
Au 196.97 Au.upf
Cu 63.55 Cu.upf
CELL_PARAMETERS angstrom
-3.924 -2.401 0.979
2.478 -2.951 2.696
-0.762 2.766 3.727
ATOMIC_POSITIONS crystal
Mo 0.500 0.500 0.500
Au 0.000 0.000 0.000
Cu 0.000 0.500 0.000
Cu 0.000 0.000 0.500
Cu 0.500 0.000 0.000

Entry Q
! PBE Cu3MoAu, optimized geometry; values from VASP
! ρ = 8009 kg/m³
&SYSTEM
  ibrav = 0, nat = 5, ntyp = 3
/
ATOMIC_SPECIES
Mo 95.94 Mo.upf
Au 196.97 Au.upf
Cu 63.55 Cu.upf
CELL_PARAMETERS angstrom
4.646 0.000 0.000
0.000 4.646 0.000
0.000 0.000 4.646
ATOMIC_POSITIONS crystal
Mo 0.000 0.000 0.000
Au 0.500 0.500 0.500
Cu 0.000 0.500 0.000
Cu 0.000 0.000 0.500
Cu 0.500 0.000 0.000

Which of them is the least stable? Correct choice: entry Q.

Entry P
! PBE CuAuN, optimized geometry; values from VASP
! ρ = 10879 kg/m³
&SYSTEM
  ibrav = 0, nat = 3, ntyp = 3
/
ATOMIC_SPECIES
Cu 63.55 Cu.upf
Au 196.97 Au.upf
N 14.01 N.upf
CELL_PARAMETERS angstrom
3.352 0.000 -0.111
0.000 4.279 0.000
-1.553 0.000 2.973
ATOMIC_POSITIONS crystal
Cu 0.709 0.000 0.223
Au 0.046 0.500 0.888
N 0.044 0.000 0.888

Entry Q
! PBE CuAuN, optimized geometry; values from VASP
! ρ = 11305 kg/m³
&SYSTEM
  ibrav = 0, nat = 6, ntyp = 3
/
ATOMIC_SPECIES
Cu 63.55 Cu.upf
Au 196.97 Au.upf
N 14.01 N.upf
CELL_PARAMETERS angstrom
5.250 0.000 0.020
0.000 3.097 0.000
-1.700 0.000 4.953
ATOMIC_POSITIONS crystal
Cu 0.928 0.000 0.237
Cu 0.928 0.500 0.737
Au 0.349 0.000 0.709
Au 0.349 0.500 0.209
N 0.777 0.000 0.851
N 0.777 0.500 0.351

Entry R
! PBE CuAuN, optimized geometry; values from VASP
! ρ = 11095 kg/m³
&SYSTEM
  ibrav = 0, nat = 3, ntyp = 3
/
ATOMIC_SPECIES
Cu 63.55 Cu.upf
Au 196.97 Au.upf
N 14.01 N.upf
CELL_PARAMETERS angstrom
3.323 0.000 0.000
0.000 3.323 0.000
0.000 0.000 3.721
ATOMIC_POSITIONS crystal
Cu 0.500 0.500 0.332
Au 0.000 0.000 0.781
N 0.500 0.500 0.833

Which of them is the least stable? Correct choice: entry R.

Entry P
! PBE CuAuN, optimized geometry; values from VASP
! ρ = 10488 kg/m³
&SYSTEM
  ibrav = 0, nat = 6, ntyp = 3
/
ATOMIC_SPECIES
Cu 63.55 Cu.upf
Au 196.97 Au.upf
N 14.01 N.upf
CELL_PARAMETERS angstrom
2.908 0.000 0.000
0.000 2.945 0.000
0.000 0.000 10.149
ATOMIC_POSITIONS crystal
Cu 0.500 0.000 0.230
Cu 0.500 0.500 0.730
Au 0.000 0.000 0.913
Au 0.000 0.500 0.413
N 0.000 0.000 0.118
N 0.000 0.500 0.618

Entry Q
! PBE CuAuN, optimized geometry; values from VASP
! ρ = 11996 kg/m³
&SYSTEM
  ibrav = 0, nat = 3, ntyp = 3
/
ATOMIC_SPECIES
Cu 63.55 Cu.upf
Au 196.97 Au.upf
N 14.01 N.upf
CELL_PARAMETERS angstrom
2.918 0.000 0.000
0.000 2.918 0.000
0.000 0.000 4.463
ATOMIC_POSITIONS crystal
Cu 0.500 0.500 0.000
Au 0.000 0.000 0.500
N 0.000 0.000 0.000

Entry R
! PBE CuAuN, optimized geometry; values from VASP
! ρ = 9997 kg/m³
&SYSTEM
  ibrav = 0, nat = 6, ntyp = 3
/
ATOMIC_SPECIES
Cu 63.55 Cu.upf
Au 196.97 Au.upf
N 14.01 N.upf
CELL_PARAMETERS angstrom
-0.180 -2.230 -2.366
3.153 -1.380 1.060
-3.733 -4.820 4.829
ATOMIC_POSITIONS crystal
Cu 0.000 0.000 0.111
Cu 0.000 0.500 0.611
Au 0.500 0.000 0.378
Au 0.500 0.500 0.878
N 0.000 0.000 0.561
N 0.000 0.500 0.061

Entry S
! PBE CuAuN, optimized geometry; values from VASP
! ρ = 8096 kg/m³
&SYSTEM
  ibrav = 0, nat = 6, ntyp = 3
/
ATOMIC_SPECIES
Cu 63.55 Cu.upf
Au 196.97 Au.upf
N 14.01 N.upf
CELL_PARAMETERS angstrom
-1.578 2.465 0.061
-2.393 -1.516 -0.740
-3.021 -1.926 12.647
ATOMIC_POSITIONS crystal
Cu 0.273 0.273 0.793
Cu 0.727 0.727 0.207
Au 0.760 0.760 0.917
Au 0.240 0.240 0.083
N 0.003 0.003 0.542
N 0.997 0.997 0.458

Which of them is the least stable? Correct choice: entry P.

Entry P
! PBE Cu2AuN2, optimized geometry; values from VASP
! ρ = 10502 kg/m³
&SYSTEM
  ibrav = 0, nat = 10, ntyp = 3
/
ATOMIC_SPECIES
Au 196.97 Au.upf
Cu 63.55 Cu.upf
N 14.01 N.upf
CELL_PARAMETERS angstrom
-3.130 -2.643 4.520
5.236 -1.564 2.711
-0.008 2.585 1.506
ATOMIC_POSITIONS crystal
Au 0.000 0.000 0.000
Au 0.500 0.500 0.000
Cu 0.148 0.648 0.500
Cu 0.648 0.852 0.500
Cu 0.852 0.352 0.500
Cu 0.352 0.148 0.500
N 0.328 0.828 0.000
N 0.828 0.672 0.000
N 0.672 0.172 0.000
N 0.172 0.328 0.000

Entry Q
! PBE Cu2AuN2, optimized geometry; values from VASP
! ρ = 8608 kg/m³
&SYSTEM
  ibrav = 0, nat = 5, ntyp = 3
/
ATOMIC_SPECIES
Au 196.97 Au.upf
Cu 63.55 Cu.upf
N 14.01 N.upf
CELL_PARAMETERS angstrom
4.171 0.000 0.000
0.000 4.171 0.000
2.085 2.085 3.905
ATOMIC_POSITIONS crystal
Au 0.000 0.000 0.000
Cu 0.750 0.250 0.500
Cu 0.250 0.750 0.500
N 0.426 0.426 0.148
N 0.574 0.574 0.852

Which of them is the least stable? Correct choice: entry P.

Entry P
! PBE CuAuSN2, optimized geometry; values from VASP
! ρ = 6666 kg/m³
&SYSTEM
  ibrav = 0, nat = 5, ntyp = 4
/
ATOMIC_SPECIES
S 32.06 S.upf
Au 196.97 Au.upf
Cu 63.55 Cu.upf
N 14.01 N.upf
CELL_PARAMETERS angstrom
3.669 0.000 0.000
0.000 3.669 0.000
0.000 0.000 5.932
ATOMIC_POSITIONS crystal
S 0.000 0.000 0.500
Au 0.500 0.500 0.500
Cu 0.000 0.000 0.000
N 0.000 0.500 0.000
N 0.500 0.000 0.000

Entry Q
! PBE CuAuSN2, optimized geometry; values from VASP
! ρ = 5865 kg/m³
&SYSTEM
  ibrav = 0, nat = 5, ntyp = 4
/
ATOMIC_SPECIES
S 32.06 S.upf
Au 196.97 Au.upf
Cu 63.55 Cu.upf
N 14.01 N.upf
CELL_PARAMETERS angstrom
-1.733 1.693 3.053
-0.717 -3.508 1.538
5.239 0.188 2.870
ATOMIC_POSITIONS crystal
S 0.000 0.000 0.500
Au 0.000 0.000 0.000
Cu 0.500 0.500 0.500
N 0.000 0.500 0.000
N 0.500 0.000 0.000

Which of them is the least stable? Correct choice: entry Q.

Entry P
! PBE CuTe2AuN, optimized geometry; values from VASP
! ρ = 7243 kg/m³
&SYSTEM
  ibrav = 0, nat = 5, ntyp = 4
/
ATOMIC_SPECIES
Te 127.60 Te.upf
Au 196.97 Au.upf
Cu 63.55 Cu.upf
N 14.01 N.upf
CELL_PARAMETERS angstrom
5.707 0.000 0.000
0.000 5.707 0.000
0.000 0.000 3.729
ATOMIC_POSITIONS crystal
Te 0.000 0.500 0.000
Te 0.500 0.000 0.000
Au 0.000 0.000 0.000
Cu 0.500 0.500 0.500
N 0.000 0.000 0.500

Entry Q
! PBE CuTe2AuN, optimized geometry; values from VASP
! ρ = 8581 kg/m³
&SYSTEM
  ibrav = 0, nat = 5, ntyp = 4
/
ATOMIC_SPECIES
Te 127.60 Te.upf
Au 196.97 Au.upf
Cu 63.55 Cu.upf
N 14.01 N.upf
CELL_PARAMETERS angstrom
5.410 0.000 0.000
0.000 5.410 0.000
0.000 0.000 3.502
ATOMIC_POSITIONS crystal
Te 0.000 0.500 0.000
Te 0.500 0.000 0.000
Au 0.500 0.500 0.500
Cu 0.000 0.000 0.000
N 0.000 0.000 0.500

Which of them is the least stable? Correct choice: entry P.

Entry P
! PBE NaCuAu3, optimized geometry; values from VASP
! ρ = 11703 kg/m³
&SYSTEM
  ibrav = 0, nat = 10, ntyp = 3
/
ATOMIC_SPECIES
Na 22.99 Na.upf
Cu 63.55 Cu.upf
Au 196.97 Au.upf
CELL_PARAMETERS angstrom
5.189 0.000 0.000
0.000 5.203 -2.177
0.000 -0.066 7.149
ATOMIC_POSITIONS crystal
Na 0.250 0.412 0.825
Na 0.750 0.588 0.175
Cu 0.000 0.000 0.000
Cu 0.500 0.000 0.000
Au 0.250 0.826 0.652
Au 0.750 0.174 0.348
Au 0.250 0.393 0.285
Au 0.750 0.607 0.715
Au 0.250 0.892 0.285
Au 0.750 0.108 0.715

Entry Q
! PBE NaCuAu3, optimized geometry; values from VASP
! ρ = 9487 kg/m³
&SYSTEM
  ibrav = 0, nat = 5, ntyp = 3
/
ATOMIC_SPECIES
Na 22.99 Na.upf
Au 196.97 Au.upf
Cu 63.55 Cu.upf
CELL_PARAMETERS angstrom
4.913 0.000 0.000
0.000 4.913 0.000
0.000 0.000 4.913
ATOMIC_POSITIONS crystal
Na 0.000 0.000 0.000
Au 0.000 0.500 0.000
Au 0.000 0.000 0.500
Au 0.500 0.000 0.000
Cu 0.500 0.500 0.500

Which of them is the least stable? Correct choice: entry Q.

Entry P
! PBE NaCuSbAu, optimized geometry; values from VASP
! ρ = 8625 kg/m³
&SYSTEM
  ibrav = 0, nat = 4, ntyp = 4
/
ATOMIC_SPECIES
Sb 121.76 Sb.upf
Au 196.97 Au.upf
Cu 63.55 Cu.upf
Na 22.99 Na.upf
CELL_PARAMETERS angstrom
-1.302 2.911 -3.583
-4.170 -0.700 -2.264
-3.612 3.095 0.616
ATOMIC_POSITIONS crystal
Sb 0.250 0.250 0.250
Au 0.000 0.000 0.000
Cu 0.500 0.500 0.500
Na 0.750 0.750 0.750

Entry Q
! PBE NaCuSbAu, optimized geometry; values from VASP
! ρ = 7326 kg/m³
&SYSTEM
  ibrav = 0, nat = 8, ntyp = 4
/
ATOMIC_SPECIES
Na 22.99 Na.upf
Cu 63.55 Cu.upf
Sb 121.76 Sb.upf
Au 196.97 Au.upf
CELL_PARAMETERS angstrom
-0.264 -3.244 1.956
3.259 -1.194 -1.541
6.479 5.272 9.618
ATOMIC_POSITIONS crystal
Na 0.750 0.750 0.305
Na 0.250 0.250 0.695
Cu 0.750 0.250 0.000
Cu 0.250 0.750 0.000
Sb 0.750 0.750 0.851
Sb 0.250 0.250 0.149
Au 0.250 0.750 0.500
Au 0.750 0.250 0.500

Which of them is the least stable? Correct choice: entry P.

Entry P
! PBE NbCuAu, optimized geometry; values from VASP
! ρ = 12271 kg/m³
&SYSTEM
  ibrav = 0, nat = 3, ntyp = 3
/
ATOMIC_SPECIES
Nb 92.91 Nb.upf
Au 196.97 Au.upf
Cu 63.55 Cu.upf
CELL_PARAMETERS angstrom
-2.440 -0.991 -0.740
0.798 -3.734 2.368
-2.017 3.509 1.951
ATOMIC_POSITIONS crystal
Nb 0.666 0.333 0.667
Au 0.166 0.667 0.333
Cu 0.167 0.000 0.000

Entry Q
! PBE NbCuAu, optimized geometry; values from VASP
! ρ = 11372 kg/m³
&SYSTEM
  ibrav = 0, nat = 6, ntyp = 3
/
ATOMIC_SPECIES
Au 196.97 Au.upf
Nb 92.91 Nb.upf
Cu 63.55 Cu.upf
CELL_PARAMETERS angstrom
-4.034 -0.656 -3.092
1.410 -1.855 -1.446
-1.190 -4.072 6.662
ATOMIC_POSITIONS crystal
Au 0.655 0.155 0.309
Au 0.345 0.845 0.691
Nb 0.753 0.500 0.000
Nb 0.247 0.500 0.000
Cu 0.168 0.668 0.336
Cu 0.832 0.332 0.664

Which of them is the least stable? Correct choice: entry Q.

Entry P
! PBE NbCuAu, optimized geometry; values from VASP
! ρ = 12197 kg/m³
&SYSTEM
  ibrav = 0, nat = 3, ntyp = 3
/
ATOMIC_SPECIES
Nb 92.91 Nb.upf
Au 196.97 Au.upf
Cu 63.55 Cu.upf
CELL_PARAMETERS angstrom
-0.785 1.404 -2.385
-2.497 0.710 1.239
4.053 3.811 2.645
ATOMIC_POSITIONS crystal
Nb 0.676 0.676 0.351
Au 0.991 0.991 0.983
Cu 0.333 0.333 0.666

Entry Q
! PBE NbCuAu, optimized geometry; values from VASP
! ρ = 12036 kg/m³
&SYSTEM
  ibrav = 0, nat = 6, ntyp = 3
/
ATOMIC_SPECIES
Nb 92.91 Nb.upf
Cu 63.55 Cu.upf
Au 196.97 Au.upf
CELL_PARAMETERS angstrom
5.465 -1.374 0.561
1.457 2.583 -0.014
0.903 -0.484 6.158
ATOMIC_POSITIONS crystal
Nb 0.651 0.967 0.681
Nb 0.940 0.324 0.901
Cu 0.633 0.977 0.239
Cu 0.958 0.313 0.343
Au 0.262 0.662 0.537
Au 0.329 0.629 0.045

Entry R
! PBE NbCuAu, optimized geometry; values from VASP
! ρ = 11988 kg/m³
&SYSTEM
  ibrav = 0, nat = 6, ntyp = 3
/
ATOMIC_SPECIES
Nb 92.91 Nb.upf
Cu 63.55 Cu.upf
Au 196.97 Au.upf
CELL_PARAMETERS angstrom
-0.334 2.225 -2.982
0.105 -2.379 -1.787
-8.761 -0.720 0.444
ATOMIC_POSITIONS crystal
Nb 0.750 0.250 0.594
Nb 0.250 0.750 0.406
Cu 0.250 0.750 0.072
Cu 0.750 0.250 0.928
Au 0.750 0.250 0.228
Au 0.250 0.750 0.772

Which of them is the least stable? Correct choice: entry Q.

Entry P
! PBE Nb2Cu2Au, optimized geometry; values from VASP
! ρ = 10214 kg/m³
&SYSTEM
  ibrav = 0, nat = 10, ntyp = 3
/
ATOMIC_SPECIES
Nb 92.91 Nb.upf
Au 196.97 Au.upf
Cu 63.55 Cu.upf
CELL_PARAMETERS angstrom
-2.510 -1.491 -7.263
0.779 -7.679 1.307
-2.548 -0.105 0.902
ATOMIC_POSITIONS crystal
Nb 0.372 0.872 0.000
Nb 0.872 0.628 0.000
Nb 0.628 0.128 0.000
Nb 0.128 0.372 0.000
Au 0.000 0.000 0.000
Au 0.500 0.500 0.000
Cu 0.167 0.667 0.500
Cu 0.667 0.833 0.500
Cu 0.833 0.333 0.500
Cu 0.333 0.167 0.500

Entry Q
! PBE Nb2Cu2Au, optimized geometry; values from VASP
! ρ = 10151 kg/m³
&SYSTEM
  ibrav = 0, nat = 5, ntyp = 3
/
ATOMIC_SPECIES
Nb 92.91 Nb.upf
Au 196.97 Au.upf
Cu 63.55 Cu.upf
CELL_PARAMETERS angstrom
-0.974 2.392 -1.894
-2.590 0.403 1.840
2.312 6.706 4.573
ATOMIC_POSITIONS crystal
Nb 0.388 0.388 0.225
Nb 0.612 0.612 0.775
Au 0.000 0.000 0.000
Cu 0.750 0.250 0.500
Cu 0.250 0.750 0.500

Entry R
! PBE Nb2Cu2Au, optimized geometry; values from VASP
! ρ = 10713 kg/m³
&SYSTEM
  ibrav = 0, nat = 10, ntyp = 3
/
ATOMIC_SPECIES
Nb 92.91 Nb.upf
Au 196.97 Au.upf
Cu 63.55 Cu.upf
CELL_PARAMETERS angstrom
-3.360 -6.247 -1.071
-0.292 -1.058 7.089
-2.711 1.441 0.103
ATOMIC_POSITIONS crystal
Nb 0.172 0.672 0.500
Nb 0.672 0.828 0.500
Nb 0.828 0.328 0.500
Nb 0.328 0.172 0.500
Au 0.000 0.000 0.000
Au 0.500 0.500 0.000
Cu 0.377 0.877 0.000
Cu 0.877 0.623 0.000
Cu 0.623 0.123 0.000
Cu 0.123 0.377 0.000

Which of them is the least stable? Correct choice: entry Q.